Entry 1:
A plane-wave DFT calculation with PBE-GGA was carried out for a relaxed structure of Tb2Hf2O7.

- E_form (uncorrected) (meV/atom) = -3572.5

Cell lengths 7.447, 7.447, 7.447 Å; angles 60.00, 60.00, 60.00 degrees
Positions (direct):
Tb 0.625 0.625 0.625
Tb 0.625 0.625 0.125
Tb 0.625 0.125 0.625
Tb 0.125 0.625 0.625
Hf 0.625 0.125 0.125
Hf 0.125 0.625 0.125
Hf 0.125 0.125 0.625
Hf 0.125 0.125 0.125
O 0.212 0.212 0.788
O 0.212 0.788 0.212
O 0.462 0.038 0.462
O 0.462 0.462 0.038
O 0.750 0.750 0.750
O 0.788 0.212 0.212
O 0.462 0.038 0.038
O 0.038 0.462 0.462
O 0.038 0.038 0.462
O 0.038 0.462 0.038
O 0.212 0.788 0.788
O 0.500 0.500 0.500
O 0.788 0.212 0.788
O 0.788 0.788 0.212

Entry 2:
A plane-wave DFT calculation with PBE-GGA was carried out for a relaxed structure of YMgAs4.

- total energy (eV/atom) = -4.578

Cell lengths 5.666, 5.666, 5.666 Å; angles 60.00, 60.00, 60.00 degrees
Positions (direct):
Y 0.000 0.000 0.000
Mg 0.750 0.750 0.750
As 0.870 0.377 0.377
As 0.377 0.377 0.870
As 0.377 0.870 0.377
As 0.377 0.377 0.377